Model a:
# PrH3Pd2 PBE relaxed
data_PrH3Pd2
_chemical_formula_sum 'Pr2 H6 Pd4'
_symmetry_space_group_name_H-M 'P 1'
_symmetry_Int_Tables_number 1
_cell_length_a 5.4576
_cell_length_b 5.4576
_cell_length_c 5.3438
_cell_angle_alpha 101.97
_cell_angle_beta 101.97
_cell_angle_gamma 90.02
loop_
_symmetry_equiv_pos_as_xyz
'x,y,z'
loop_
_atom_site_label
_atom_site_type_symbol
_atom_site_fract_x
_atom_site_fract_y
_atom_site_fract_z
Pr1 Pr 0.1960 0.8040 0.5000
Pr2 Pr 0.8040 0.1960 0.0000
H1 H 0.0761 0.2771 0.4624
H2 H 0.2771 0.0761 0.9624
H3 H 0.3224 0.5503 0.1120
H4 H 0.5503 0.3224 0.6120
H5 H 0.7413 0.8788 0.5162
H6 H 0.8788 0.7413 0.0162
Pd1 Pd 0.2512 0.3660 0.7818
Pd2 Pd 0.3660 0.2512 0.2818
Pd3 Pd 0.6181 0.7407 0.1759
Pd4 Pd 0.7407 0.6181 0.6759
# SG = Cc, No. 9
# Calculated density = 7.79 g/cm³

***

Model b:
# PrH3Pd2 PBE relaxed
data_PrH3Pd2
_chemical_formula_sum 'Pr2 H6 Pd4'
_symmetry_space_group_name_H-M 'P 1'
_symmetry_Int_Tables_number 1
_cell_length_a 5.4789
_cell_length_b 5.4789
_cell_length_c 5.3799
_cell_angle_alpha 90.00
_cell_angle_beta 90.00
_cell_angle_gamma 96.11
loop_
_symmetry_equiv_pos_as_xyz
'x,y,z'
loop_
_atom_site_label
_atom_site_type_symbol
_atom_site_fract_x
_atom_site_fract_y
_atom_site_fract_z
Pr1 Pr 0.1971 0.8029 0.7500
Pr2 Pr 0.8029 0.1971 0.2500
H1 H 0.0798 0.2594 0.7500
H2 H 0.2594 0.0798 0.2500
H3 H 0.4598 0.5402 0.2500
H4 H 0.5402 0.4598 0.7500
H5 H 0.7406 0.9202 0.7500
H6 H 0.9202 0.7406 0.2500
Pd1 Pd 0.3063 0.3063 0.0000
Pd2 Pd 0.3063 0.3063 0.5000
Pd3 Pd 0.6937 0.6937 0.0000
Pd4 Pd 0.6937 0.6937 0.5000
# SG = Cmcm, No. 63
# Calculated density = 7.38 g/cm³

***

Which structure is the least stable? The one labeled model b.

***

Model a:
# PrH2Pd PBE relaxed
data_PrH2Pd
_chemical_formula_sum 'Pr1 H2 Pd1'
_symmetry_space_group_name_H-M 'P 1'
_symmetry_Int_Tables_number 1
_cell_length_a 4.6533
_cell_length_b 4.6533
_cell_length_c 4.6533
_cell_angle_alpha 53.96
_cell_angle_beta 53.96
_cell_angle_gamma 53.96
loop_
_symmetry_equiv_pos_as_xyz
'x,y,z'
loop_
_atom_site_label
_atom_site_type_symbol
_atom_site_fract_x
_atom_site_fract_y
_atom_site_fract_z
Pr1 Pr 0.0000 0.0000 0.0000
H1 H 0.3574 0.3574 0.3574
H2 H 0.6426 0.6426 0.6426
Pd1 Pd 0.5000 0.5000 0.5000
# SG = R-3m, No. 166
# Calculated density = 6.77 g/cm³

***

Model b:
# PrH2Pd PBE relaxed
data_PrH2Pd
_chemical_formula_sum 'Pr4 H8 Pd4'
_symmetry_space_group_name_H-M 'P 1'
_symmetry_Int_Tables_number 1
_cell_length_a 5.8978
_cell_length_b 6.6851
_cell_length_c 5.6003
_cell_angle_alpha 90.00
_cell_angle_beta 100.10
_cell_angle_gamma 90.00
loop_
_symmetry_equiv_pos_as_xyz
'x,y,z'
loop_
_atom_site_label
_atom_site_type_symbol
_atom_site_fract_x
_atom_site_fract_y
_atom_site_fract_z
Pr1 Pr 0.2185 0.0841 0.3505
Pr2 Pr 0.2185 0.4159 0.8505
Pr3 Pr 0.7815 0.5841 0.1495
Pr4 Pr 0.7815 0.9159 0.6495
H1 H 0.0546 0.7458 0.9219
H2 H 0.0546 0.7542 0.4219
H3 H 0.4948 0.6667 0.7390
H4 H 0.4948 0.8333 0.2390
H5 H 0.5052 0.1667 0.7610
H6 H 0.5052 0.3333 0.2610
H7 H 0.9454 0.2458 0.5781
H8 H 0.9454 0.2542 0.0781
Pd1 Pd 0.3351 0.6438 0.4090
Pd2 Pd 0.3351 0.8562 0.9090
Pd3 Pd 0.6649 0.1438 0.0910
Pd4 Pd 0.6649 0.3562 0.5910
# SG = P2_1/c, No. 14
# Calculated density = 7.62 g/cm³

***

Which structure is the least stable? The one labeled model b.